## P
Mg2CuHIr: relaxed, PBE.

Unit cell a=4.3368 b=4.3368 c=3.3603 alpha=90.00 beta=90.00 gamma=90.00
Fractional positions:
Mg  0.0000  0.5000  0.0000
Mg  0.5000  0.0000  0.0000
Cu  0.0000  0.0000  0.5000
H  0.0000  0.0000  0.0000
Ir  0.5000  0.5000  0.5000

Results
DOS at the Fermi energy = 0.814 states/eV per cell
mass density = 8.0 Mg/m³



## Q
Mg2CuHIr: relaxed, PBE.

Unit cell a=4.3509 b=4.3509 c=3.4846 alpha=90.00 beta=90.00 gamma=90.00
Fractional positions:
Mg  0.0000  0.5000  0.0000
Mg  0.5000  0.0000  0.0000
Cu  0.0000  0.0000  0.5000
H  0.5000  0.5000  0.0000
Ir  0.5000  0.5000  0.5000

Results
DOS at the Fermi energy = 1.530 states/eV per cell
mass density = 7.7 Mg/m³



Going by the computed energies, the most stable comes first: Q, P.



## P
Mn2CuHIr: relaxed, PBE.

Unit cell a=3.7097 b=3.7097 c=3.8234 alpha=90.00 beta=90.00 gamma=90.00
Fractional positions:
Mn  0.0000  0.5000  0.0000
Mn  0.5000  0.0000  0.0000
Cu  0.0000  0.0000  0.5000
H  0.0000  0.0000  0.0000
Ir  0.5000  0.5000  0.5000

Results
DOS at the Fermi energy = 3.623 states/eV per cell
mass density = 11.6 Mg/m³



## Q
Mn2CuHIr: relaxed, PBE.

Unit cell a=3.7576 b=3.7576 c=3.8105 alpha=90.00 beta=90.00 gamma=90.00
Fractional positions:
Mn  0.0000  0.5000  0.0000
Mn  0.5000  0.0000  0.0000
Cu  0.0000  0.0000  0.5000
H  0.5000  0.5000  0.0000
Ir  0.5000  0.5000  0.5000

Results
DOS at the Fermi energy = 3.598 states/eV per cell
mass density = 11.3 Mg/m³



Going by the computed energies, the most stable comes first: P, Q.



## P
MnCu2HIr: relaxed, PBE.

Unit cell a=3.7435 b=3.7435 c=3.8718 alpha=90.00 beta=90.00 gamma=90.00
Fractional positions:
Mn  0.0000  0.0000  0.0000
Cu  0.0000  0.5000  0.5000
Cu  0.5000  0.0000  0.5000
H  0.0000  0.0000  0.5000
Ir  0.5000  0.5000  0.0000

Results
DOS at the Fermi energy = 2.618 states/eV per cell
mass density = 11.5 Mg/m³



## Q
MnCu2HIr: relaxed, PBE.

Unit cell a=3.8376 b=3.8376 c=3.7978 alpha=90.00 beta=90.00 gamma=90.00
Fractional positions:
Mn  0.0000  0.0000  0.0000
Cu  0.0000  0.5000  0.5000
Cu  0.5000  0.0000  0.5000
H  0.5000  0.5000  0.5000
Ir  0.5000  0.5000  0.0000

Results
DOS at the Fermi energy = 1.649 states/eV per cell
mass density = 11.1 Mg/m³



Going by the computed energies, the most stable comes first: Q, P.



## P
Nb2CuHIr: relaxed, PBE.

Unit cell a=4.0530 b=4.0530 c=3.9531 alpha=90.00 beta=90.00 gamma=90.00
Fractional positions:
Nb  0.0000  0.5000  0.0000
Nb  0.5000  0.0000  0.0000
Cu  0.0000  0.0000  0.5000
H  0.0000  0.0000  0.0000
Ir  0.5000  0.5000  0.5000

Results
DOS at the Fermi energy = 3.786 states/eV per cell
mass density = 11.3 Mg/m³



## Q
Nb2CuHIr: relaxed, PBE.

Unit cell a=4.0747 b=4.0747 c=3.9523 alpha=90.00 beta=90.00 gamma=90.00
Fractional positions:
Nb  0.0000  0.5000  0.0000
Nb  0.5000  0.0000  0.0000
Cu  0.0000  0.0000  0.5000
H  0.5000  0.5000  0.0000
Ir  0.5000  0.5000  0.5000

Results
DOS at the Fermi energy = 3.486 states/eV per cell
mass density = 11.2 Mg/m³



Going by the computed energies, the most stable comes first: P, Q.



## P
CuNi2HIr: relaxed, PBE.

Unit cell a=3.6424 b=3.6424 c=3.8059 alpha=90.00 beta=90.00 gamma=90.00
Fractional positions:
Cu  0.0000  0.0000  0.0000
Ni  0.0000  0.5000  0.5000
Ni  0.5000  0.0000  0.5000
H  0.0000  0.0000  0.5000
Ir  0.5000  0.5000  0.0000

Results
DOS at the Fermi energy = 6.917 states/eV per cell
mass density = 12.3 Mg/m³



## Q
CuNi2HIr: relaxed, PBE.

Unit cell a=3.6891 b=3.6891 c=3.7680 alpha=90.00 beta=90.00 gamma=90.00
Fractional positions:
Cu  0.0000  0.0000  0.0000
Ni  0.0000  0.5000  0.5000
Ni  0.5000  0.0000  0.5000
H  0.5000  0.5000  0.5000
Ir  0.5000  0.5000  0.0000

Results
DOS at the Fermi energy = 6.227 states/eV per cell
mass density = 12.1 Mg/m³



Going by the computed energies, the most stable comes first: Q, P.



## P
CuHIrRh2: relaxed, PBE.

Unit cell a=3.8727 b=3.8727 c=3.8648 alpha=90.00 beta=90.00 gamma=90.00
Fractional positions:
Cu  0.0000  0.0000  0.0000
H  0.0000  0.0000  0.5000
Ir  0.5000  0.5000  0.0000
Rh  0.0000  0.5000  0.5000
Rh  0.5000  0.0000  0.5000

Results
DOS at the Fermi energy = 6.106 states/eV per cell
mass density = 13.3 Mg/m³



## Q
CuHIrRh2: relaxed, PBE.

Unit cell a=4.7181 b=4.7181 c=4.7706 alpha=90.00 beta=90.00 gamma=90.00
Fractional positions:
Cu  0.0000  0.0000  0.0000
H  0.5000  0.5000  0.0000
Ir  0.0000  0.0000  0.5000
Rh  0.0000  0.5000  0.5000
Rh  0.5000  0.0000  0.5000

Results
DOS at the Fermi energy = 4.501 states/eV per cell
mass density = 7.2 Mg/m³



Going by the computed energies, the most stable comes first: P, Q.



## P
Sc2CuHIr: relaxed, PBE.

Unit cell a=4.4890 b=4.4890 c=3.5869 alpha=90.00 beta=90.00 gamma=90.00
Fractional positions:
Sc  0.0000  0.5000  0.0000
Sc  0.5000  0.0000  0.0000
Cu  0.0000  0.0000  0.5000
H  0.5000  0.5000  0.0000
Ir  0.5000  0.5000  0.5000

Results
DOS at the Fermi energy = 4.030 states/eV per cell
mass density = 8.0 Mg/m³



## Q
Sc2CuHIr: relaxed, PBE.

Unit cell a=4.5803 b=4.5803 c=3.3405 alpha=90.00 beta=90.00 gamma=90.00
Fractional positions:
Sc  0.0000  0.5000  0.0000
Sc  0.5000  0.0000  0.0000
Cu  0.0000  0.0000  0.5000
H  0.0000  0.0000  0.0000
Ir  0.5000  0.5000  0.5000

Results
DOS at the Fermi energy = 2.287 states/eV per cell
mass density = 8.2 Mg/m³



Going by the computed energies, the most stable comes first: Q, P.



## P
V2CuHIr: relaxed, PBE.

Unit cell a=3.7731 b=3.7731 c=3.8494 alpha=90.00 beta=90.00 gamma=90.00
Fractional positions:
V  0.0000  0.5000  0.0000
V  0.5000  0.0000  0.0000
Cu  0.0000  0.0000  0.5000
H  0.0000  0.0000  0.0000
Ir  0.5000  0.5000  0.5000

Results
DOS at the Fermi energy = 2.437 states/eV per cell
mass density = 10.9 Mg/m³



## Q
V2CuHIr: relaxed, PBE.

Unit cell a=3.7907 b=3.7907 c=3.8598 alpha=90.00 beta=90.00 gamma=90.00
Fractional positions:
V  0.0000  0.5000  0.0000
V  0.5000  0.0000  0.0000
Cu  0.0000  0.0000  0.5000
H  0.5000  0.5000  0.0000
Ir  0.5000  0.5000  0.5000

Results
DOS at the Fermi energy = 3.295 states/eV per cell
mass density = 10.7 Mg/m³



Going by the computed energies, the most stable comes first: P, Q.